Entry from Alexandria via LeMat-Bulk: an optimized crystal structure of NbVBi2O (PBE with a Hubbard U).

symmetry: P4/mmm
uncorrected energy: -4.825 eV/atom
crystal system: tetragonal

Lattice parameters (Å, degrees): 5.412 5.412 4.937 90.00 90.00 90.00
Sites, in units of the cell vectors:
1 Nb 0.000 0.000 0.000
2 V 0.000 0.000 0.500
3 Bi 0.000 0.500 0.000
4 Bi 0.500 0.000 0.000
5 O 0.500 0.500 0.500